(1)
ZnTe3N (PBE, relaxed); DFT total energy = -12.1 eV per cell; density of states at the Fermi level = 0.90 states/eV per atom; uncorrected formation energy = 1.378 eV/atom; SG = Pm-3m (221); E above lowest polymorph = 0.645 eV/atom
1.0
5.3151 0.0000 0.0000
0.0000 5.3151 0.0000
0.0000 0.0000 5.3151
Zn Te N
1 3 1
direct
0.0000 0.0000 0.0000
0.0000 0.0000 0.5000
0.0000 0.5000 0.0000
0.5000 0.0000 0.0000
0.5000 0.5000 0.5000



(2)
Rb2ThTe4Pb (PBE, relaxed); DFT total energy = -33.9 eV per cell; density of states at the Fermi level = 0.00 states/eV per atom; uncorrected formation energy = -1.035 eV/atom; SG = P2/m (10)
1.0
4.7078 0.0000 0.0000
0.0000 8.2023 0.1856
0.0000 -2.8386 8.4309
Rb Th Te Pb
2 1 4 1
direct
0.5000 0.0000 0.5000
0.0000 0.5000 0.5000
0.5000 0.5000 0.0000
0.0000 0.7230 0.2025
0.5000 0.7495 0.7951
0.0000 0.2770 0.7975
0.5000 0.2505 0.2049
0.0000 0.0000 0.0000



(3)
NbPdF3 (PBE, relaxed); DFT total energy = -27.9 eV per cell; density of states at the Fermi level = 1.06 states/eV per atom; uncorrected formation energy = -1.403 eV/atom; SG = Pm-3m (221); E above lowest polymorph = 0.000 eV/atom
1.0
4.1910 0.0000 0.0000
0.0000 4.1910 0.0000
0.0000 0.0000 4.1910
F Pd Nb
3 1 1
direct
0.0000 0.5000 0.0000
0.5000 0.0000 0.0000
0.0000 0.0000 0.5000
0.5000 0.5000 0.5000
0.0000 0.0000 0.0000